No. 1
Material: WAu
Method: DFT, PBE
State: optimized geometry

Values from the calculation:
ΔE_f   0.44 eV per atom
VASP energy   -15.35 eV/f.u.
D(E_F)   4.01 states/eV per cell

Lattice parameters (Å, degrees): 2.8366 2.8366 14.4519 90.00 90.00 120.00
Space group R-3m (No. 166, hexagonal axes)
Unique sites:
W  0.0000  0.0000  0.0000 (multiplicity 3)
Au  0.0000  0.0000  0.5000 (multiplicity 3)

No. 2
Material: PuScV
Method: DFT, PBE
State: optimized geometry

Values from the calculation:
ΔE_f   0.29 eV per atom
VASP energy   -28.90 eV/f.u.
D(E_F)   36.02 states/eV per cell

Lattice parameters (Å, degrees): 4.704 8.170 6.224 90.00 90.00 90.00
Space group Cmcm (No. 63)
Unique sites:
Pu  0.000  0.167  0.250 (multiplicity 4)
Sc  0.000  0.500  0.000 (multiplicity 4)
V  0.000  0.167  0.750 (multiplicity 4)

No. 3
Material: Pm2SmGaO
Method: DFT, PBE
State: optimized geometry

Values from the calculation:
E_form (uncorrected)   -6.9 eV/f.u.
VASP energy   -29.14 eV/f.u.
D(E_F)   1.38 states/eV per cell

Lattice parameters (Å, degrees): 4.868 4.868 4.830 90.00 90.00 90.00
Space group P4/mmm (No. 123)
Unique sites:
Pm  0.000  0.500  0.000 (multiplicity 2)
Sm  0.000  0.000  0.500 (multiplicity 1)
Ga  0.500  0.500  0.500 (multiplicity 1)
O  0.000  0.000  0.000 (multiplicity 1)

> Which of these has the highest D(E_F)?

PuScV